# 1
# TlGa2IrS

A relaxed TlGa2IrS crystal (PBE, Alexandria via LeMat-Bulk).

Geometry as POSCAR:
```
TlGa2IrS
1.0
5.3073 0.0000 0.0000
0.0000 5.1128 0.0000
0.0000 0.0000 5.3073
Ga Ir Tl S
2 1 1 1
Cartesian
2.6536 0.0000 0.0000
0.0000 0.0000 2.6536
0.0000 2.5564 0.0000
0.0000 0.0000 0.0000
2.6536 2.5564 2.6536
```

ρ, g/cm³: 6.55
Space-group type: P4/mmm (123)
Formation energy (no corrections), eV per atom: 1.30
Fermi-level density of states, states/eV per cell: 4.733


# 2
# LiYSn

A relaxed LiYSn crystal (PBE, Alexandria via LeMat-Bulk).

Geometry as POSCAR:
```
LiYSn
1.0
-2.1192 3.8747 -2.2165
4.7166 -1.1601 -6.5375
-6.7757 -1.2161 4.3522
Y Sn Li
2 2 2
Cartesian
2.3224 -1.1718 -4.2688
-5.5993 -1.2104 3.2375
-1.6919 -1.1913 -0.4650
-0.1880 0.7585 -4.0023
-4.2771 0.7386 -0.1276
3.1845 0.7749 -7.1980
```

ρ, g/cm³: 4.76
Energy relative to the elements, kJ per mole of atoms: -43.7
Space-group type: Amm2 (38)
Fermi-level density of states, states/eV per cell: 2.762


# 3
# KNbAgN2

A relaxed KNbAgN2 crystal (PBE, Alexandria via LeMat-Bulk).

Geometry as POSCAR:
```
KNbAgN2
1.0
-2.5655 -3.1651 1.5581
3.4633 -1.2610 3.1410
-1.6473 2.7783 2.9317
Ag K N Nb
1 1 2 1
Cartesian
1.7316 -0.6305 1.5705
0.0000 0.0000 0.0000
-0.8236 1.3892 1.4658
-1.2827 -1.5825 0.7790
-0.3747 -0.8239 3.8154
```

ρ, g/cm³: 4.83
Space-group type: P4/mmm (123)
Formation energy (no corrections), eV per atom: 2.85
Fermi-level density of states, states/eV per cell: 4.513


# 4
# CrTc2W

A relaxed CrTc2W crystal (PBE, Alexandria via LeMat-Bulk).

Geometry as POSCAR:
```
CrTc2W
1.0
-0.3682 -1.2873 4.5639
-2.7106 -3.8886 0.3911
3.7505 1.0202 -2.7413
Cr Tc W
1 2 1
Cartesian
0.9214 -1.4275 2.1500
-0.2497 -2.7282 0.0637
0.0000 0.0000 0.0000
-1.5394 -2.5879 2.4775
```

ρ, g/cm³: 12.40
Energy relative to the elements, kJ per mole of atoms: 22.1
Space-group type: I-4m2 (119)
Fermi-level density of states, states/eV per cell: 4.825


Please write out number 4 again, unchanged.
# CrTc2W

A relaxed CrTc2W crystal (PBE, Alexandria via LeMat-Bulk).

Geometry as POSCAR:
```
CrTc2W
1.0
-0.3682 -1.2873 4.5639
-2.7106 -3.8886 0.3911
3.7505 1.0202 -2.7413
Cr Tc W
1 2 1
Cartesian
0.9214 -1.4275 2.1500
-0.2497 -2.7282 0.0637
0.0000 0.0000 0.0000
-1.5394 -2.5879 2.4775
```

ρ, g/cm³: 12.40
Energy relative to the elements, kJ per mole of atoms: 22.1
Space-group type: I-4m2 (119)
Fermi-level density of states, states/eV per cell: 4.825